[1]
TaSb2W after structural relaxation, computed with PBE.

abc: 9.196 9.196 9.196
angles: 19.87 19.87 19.87
Element x y z (fractional)
W: 0.250 0.250 0.250
Sb: 0.503 0.503 0.503
Sb: 0.997 0.997 0.997
Ta: 0.750 0.750 0.750

space group = R-3m (166)
E_form (uncorrected) = 0.55 eV/atom
crystal system = trigonal
ΔE to the lowest computed polymorph = 166 kJ/mol of formula units


[2]
Ca2ReRh after structural relaxation, computed with PBE.

abc: 4.943 4.943 5.747
angles: 83.58 83.58 34.27
Element x y z (fractional)
Rh: 0.750 0.750 0.750
Re: 0.250 0.250 0.250
Ca: 0.496 0.496 0.505
Ca: 0.004 0.004 0.995

space group = C2/m (12)
crystal system = monoclinic
energy of formation from the pure elements = 591.5 meV/atom


[3]
Nd2Y4Ho3 after structural relaxation, computed with PBE.

abc: 6.162 11.319 11.319
angles: 61.97 62.11 62.11
Element x y z (fractional)
Y: 0.079 0.812 0.094
Y: 0.421 0.906 0.188
Y: 0.579 0.094 0.812
Y: 0.419 0.578 0.852
Y: 0.081 0.148 0.422
Y: 0.919 0.852 0.578
Y: 0.921 0.188 0.906
Y: 0.581 0.422 0.148
Ho: 0.750 0.404 0.596
Ho: 0.762 0.067 0.264
Ho: 0.250 0.596 0.404
Ho: 0.238 0.933 0.736
Ho: 0.738 0.736 0.933
Ho: 0.262 0.264 0.067
Nd: 0.580 0.767 0.476
Nd: 0.080 0.476 0.767
Nd: 0.420 0.233 0.524
Nd: 0.920 0.524 0.233

space group = C2/c (15)
crystal system = monoclinic
energy of formation from the pure elements = 91.5 meV/atom


[4]
ErTiPd2 after structural relaxation, computed with PBE.

abc: 3.242 3.242 7.008
angles: 90.00 90.00 90.00
Element x y z (fractional)
Er: 0.500 0.500 0.500
Pd: 0.000 0.000 0.210
Pd: 0.000 0.000 0.790
Ti: 0.500 0.500 0.000

space group = P4/mmm (123)
crystal system = tetragonal
ΔE to the lowest computed polymorph = 0 kJ/mol of formula units
energy of formation from the pure elements = -659.4 meV/atom


[5]
RuRh8 after structural relaxation, computed with PBE.

abc: 6.067 6.067 6.067
angles: 95.76 95.76 143.07
Element x y z (fractional)
Ru: 0.000 0.000 0.000
Rh: 0.000 0.331 0.331
Rh: 0.664 0.664 0.328
Rh: 0.669 0.000 0.669
Rh: 0.331 0.000 0.331
Rh: 0.336 0.336 0.672
Rh: 0.336 0.664 0.000
Rh: 0.000 0.669 0.669
Rh: 0.664 0.336 0.000

space group = I4/mmm (139)
crystal system = tetragonal
energy of formation from the pure elements = 5.5 meV/atom


[6]
Mg2ZrZn8 after structural relaxation, computed with PBE.

abc: 3.258 8.214 8.214
angles: 114.22 101.61 101.61
Element x y z (fractional)
Zn: 0.222 0.047 0.391
Zn: 0.500 0.220 0.780
Zn: 0.222 0.391 0.047
Zn: 0.500 0.780 0.220
Zn: 0.778 0.953 0.609
Zn: 0.297 0.299 0.299
Zn: 0.778 0.609 0.953
Zn: 0.703 0.701 0.701
Zr: 0.500 0.000 0.000
Mg: 0.000 0.384 0.616
Mg: 0.000 0.616 0.384

space group = C2/m (12)
crystal system = monoclinic
energy of formation from the pure elements = -49.0 meV/atom


[7]
Li2TiGeO after structural relaxation, computed with PBE.

abc: 3.856 3.856 4.096
angles: 90.00 90.00 90.00
Element x y z (fractional)
O: 0.000 0.000 0.000
Ti: 0.000 0.000 0.500
Li: 0.000 0.500 0.000
Li: 0.500 0.000 0.000
Ge: 0.500 0.500 0.500

space group = P4/mmm (123)
E_form (uncorrected) = -1.32 eV/atom
crystal system = tetragonal


[8]
TbHfSn2 after structural relaxation, computed with PBE.

abc: 3.320 3.320 8.735
angles: 90.00 90.00 90.00
Element x y z (fractional)
Sn: 0.000 0.000 0.763
Sn: 0.000 0.000 0.237
Hf: 0.500 0.500 0.000
Tb: 0.500 0.500 0.500

space group = P4/mmm (123)
crystal system = tetragonal
ΔE to the lowest computed polymorph = 0 kJ/mol of formula units
energy of formation from the pure elements = -409.0 meV/atom


[9]
BaAlZn2O4 after structural relaxation, computed with PBE.

abc: 5.541 5.541 5.396
angles: 120.90 120.90 89.98
Element x y z (fractional)
Ba: 0.000 0.000 0.000
Al: 0.500 0.500 0.000
O: 0.536 0.536 0.704
O: 0.464 0.833 0.297
O: 0.833 0.464 0.297
O: 0.167 0.167 0.704
Zn: 0.750 0.250 0.500
Zn: 0.250 0.750 0.500

space group = I-42m (121)
E_form (uncorrected) = -1.94 eV/atom
crystal system = tetragonal


[10]
PaGaN2 after structural relaxation, computed with PBE.

abc: 3.639 3.639 6.268
angles: 73.13 73.13 60.00
Element x y z (fractional)
Pa: 0.500 0.500 0.500
Ga: 0.000 0.000 0.000
N: 0.887 0.887 0.339
N: 0.113 0.113 0.661

space group = R-3m (166)
E_form (uncorrected) = -0.84 eV/atom
crystal system = trigonal


[11]
Tm4HgBiC after structural relaxation, computed with PBE.

abc: 4.747 4.747 8.478
angles: 106.26 106.26 90.00
Element x y z (fractional)
Bi: 0.641 0.641 0.281
Tm: 0.161 0.161 0.322
Tm: 0.995 0.495 0.990
Tm: 0.495 0.995 0.990
Tm: 0.842 0.842 0.684
Hg: 0.361 0.361 0.722
C: 0.005 0.005 0.010

space group = I4mm (107)
crystal system = tetragonal
energy of formation from the pure elements = -504.5 meV/atom


[12]
TmSbPt6 after structural relaxation, computed with PBE.

abc: 4.080 4.080 8.202
angles: 90.00 90.00 90.00
Element x y z (fractional)
Pt: 0.500 0.500 0.000
Pt: 0.000 0.500 0.749
Pt: 0.500 0.000 0.749
Pt: 0.000 0.500 0.251
Pt: 0.500 0.500 0.500
Pt: 0.500 0.000 0.251
Sb: 0.000 0.000 0.500
Tm: 0.000 0.000 0.000

space group = P4/mmm (123)
E_form (uncorrected) = -0.65 eV/atom
crystal system = tetragonal


[13]
Pr2DyHg after structural relaxation, computed with PBE.

abc: 5.268 5.268 8.966
angles: 90.00 90.00 90.00
Element x y z (fractional)
Dy: 0.500 0.000 0.786
Dy: 0.000 0.500 0.214
Pr: 0.500 0.500 0.500
Pr: 0.500 0.000 0.221
Pr: 0.000 0.500 0.779
Pr: 0.000 0.000 0.500
Hg: 0.500 0.500 0.000
Hg: 0.000 0.000 0.000

space group = P4/nmm (129)
crystal system = tetragonal
ΔE to the lowest computed polymorph = 0 kJ/mol of formula units
energy of formation from the pure elements = -231.1 meV/atom


[14]
URu2C after structural relaxation, computed with PBE.

abc: 2.985 2.985 7.648
angles: 78.75 78.75 60.00
Element x y z (fractional)
Ru: 0.720 0.720 0.841
Ru: 0.280 0.280 0.159
U: 0.500 0.500 0.500
C: 0.000 0.000 0.000

space group = R-3m (166)
crystal system = trigonal
energy of formation from the pure elements = 374.2 meV/atom


[15]
TaCuSn2 after structural relaxation, computed with PBE.

abc: 7.388 7.388 6.021
angles: 52.16 52.16 90.00
Element x y z (fractional)
Ta: 0.750 0.250 0.500
Ta: 0.000 0.000 0.000
Sn: 0.875 0.840 0.750
Sn: 0.375 0.410 0.750
Sn: 0.160 0.625 0.250
Sn: 0.590 0.125 0.250
Cu: 0.500 0.500 0.000
Cu: 0.250 0.750 0.500

space group = I-42d (122)
crystal system = tetragonal
ΔE to the lowest computed polymorph = 99 kJ/mol of formula units
energy of formation from the pure elements = 516.4 meV/atom


[16]
CaGePd after structural relaxation, computed with PBE.

abc: 5.339 4.021 7.530
angles: 90.00 117.33 90.00
Element x y z (fractional)
Ca: 0.099 0.000 0.654
Ca: 0.099 0.500 0.154
Ge: 0.613 0.000 0.172
Ge: 0.613 0.500 0.672
Pd: 0.483 0.000 0.451
Pd: 0.483 0.500 0.951

space group = Cm (8)
crystal system = monoclinic
energy of formation from the pure elements = -559.5 meV/atom


[17]
NaHg5 after structural relaxation, computed with PBE.

abc: 4.768 4.771 7.375
angles: 108.87 90.00 90.00
Element x y z (fractional)
Hg: 0.000 0.667 0.334
Hg: 0.500 0.837 0.674
Hg: 0.500 0.500 0.000
Hg: 0.000 0.333 0.666
Hg: 0.500 0.163 0.326
Na: 0.000 0.000 0.000

space group = Cmmm (65)
crystal system = orthorhombic
ΔE to the lowest computed polymorph = 3 kJ/mol of formula units
energy of formation from the pure elements = -128.2 meV/atom


[18]
CsZrGa2I8 after structural relaxation, computed with PBE.

abc: 7.616 6.772 10.865
angles: 89.89 89.97 91.98
Element x y z (fractional)
I: 0.491 0.249 0.500
I: 0.323 0.241 0.001
I: 0.146 0.760 0.811
I: 0.677 0.759 0.999
I: 0.144 0.759 0.190
I: 0.854 0.240 0.189
I: 0.856 0.241 0.810
I: 0.509 0.751 0.500
Ga: 0.500 0.501 0.221
Ga: 0.500 0.499 0.779
Zr: 0.000 0.000 0.000
Cs: 0.000 0.000 0.500

space group = P-1 (2)
E_form (uncorrected) = -0.71 eV/atom
crystal system = triclinic


[19]
SmThGeAu after structural relaxation, computed with PBE.

abc: 4.226 4.397 5.953
angles: 90.00 110.79 90.00
Element x y z (fractional)
Au: 0.417 0.000 0.835
Th: 0.138 0.000 0.277
Sm: 0.860 0.500 0.720
Ge: 0.584 0.500 0.169

space group = Amm2 (38)
crystal system = orthorhombic
ΔE to the lowest computed polymorph = 0 kJ/mol of formula units
energy of formation from the pure elements = -741.9 meV/atom


[20]
InGeCl3 after structural relaxation, computed with PBE.

abc: 9.718 9.718 9.718
angles: 60.00 60.00 60.00
Element x y z (fractional)
Cl: 0.208 0.792 0.792
Cl: 0.208 0.792 0.208
Cl: 0.458 0.042 0.458
Cl: 0.042 0.458 0.042
Cl: 0.458 0.042 0.042
Cl: 0.208 0.208 0.792
Cl: 0.792 0.792 0.208
Cl: 0.792 0.208 0.792
Cl: 0.042 0.458 0.458
Cl: 0.792 0.208 0.208
Cl: 0.458 0.458 0.042
Cl: 0.042 0.042 0.458
Ge: 0.625 0.125 0.125
Ge: 0.125 0.625 0.125
Ge: 0.125 0.125 0.125
Ge: 0.125 0.125 0.625
In: 0.625 0.125 0.625
In: 0.625 0.625 0.625
In: 0.125 0.625 0.625
In: 0.625 0.625 0.125

space group = Fd-3m (227)
E_form (uncorrected) = -0.71 eV/atom
crystal system = cubic


| no. | M_tot (μB/atom) | total energy (eV per cell) |
| --- | --- | --- |
| 1 | 0.00 | -30.9 |
| 2 | 0.10 | -21.4 |
| 3 | 0.00 | -96.6 |
| 4 | 0.00 | -25.5 |
| 5 | 0.00 | -68.0 |
| 6 | 0.00 | -22.5 |
| 7 | 0.00 | -27.9 |
| 8 | 0.01 | -24.2 |
| 9 | 0.00 | -43.6 |
| 10 | 0.00 | -32.5 |
| 11 | 0.00 | -34.8 |
| 12 | 0.00 | -50.0 |
| 13 | 0.00 | -30.8 |
| 14 | 0.29 | -37.6 |
| 15 | 0.00 | -43.8 |
| 16 | 0.00 | -27.0 |
| 17 | 0.00 | -3.6 |
| 18 | 0.00 | -36.4 |
| 19 | 0.05 | -23.0 |
| 20 | 0.00 | -65.7 |